# WSO2F, optimized geometry, DFT GGA+U
# - Total moment: 1.00 μB per formula unit
# - Raw total energy: -5.552 eV per atom
# - DOS(E_F): 2.57 states/eV per cell
data_WSO2F
_space_group_name_H-M_alt 'P 4/m m m'
_space_group_IT_number 123
_space_group_name_Hall '-P 4 2'
_cell_length_a 3.995
_cell_length_b 3.995
_cell_length_c 4.292
_cell_angle_alpha 90.00
_cell_angle_beta 90.00
_cell_angle_gamma 90.00
loop_
_atom_site_label
_atom_site_fract_x
_atom_site_fract_y
_atom_site_fract_z
W1 0.000 0.000 0.000
S1 0.500 0.500 0.500
O1 0.000 0.500 0.000
F1 0.000 0.000 0.500